# 1
Er2TiO5: optimized geometry, PBE-GGA.

```
16
Lattice="5.8429 -0.0090 0.0000 -4.4295 3.8104 0.0000 0.0000 0.0000 10.4502" Properties=species:S:1:pos:R:3 pbc="T T T"
O -1.4496 2.7025 4.2770
O -3.9135 3.6186 1.2845
O 5.3269 0.1828 9.1657
O 2.8630 1.0989 6.1732
O -3.9135 3.6186 3.9406
O -1.6061 2.7606 7.8377
O 2.8630 1.0989 9.5021
O -1.4496 2.7025 0.9481
O 5.3269 0.1828 6.5096
O 3.0195 1.0408 2.6126
Er 4.3678 0.5395 0.7272
Er 4.3678 0.5395 4.4979
Er -2.9544 3.2619 9.7230
Er -2.9544 3.2619 5.9523
Ti -2.6797 3.1598 2.6126
Ti 4.0931 0.6416 7.8377
```

## Properties
Its space group is Cmcm (63). As for the polymorph energy (0 for the lowest one): 0.59 eV/f.u.

# 2
Er2TiO5: optimized geometry, PBE-GGA.

```
32
Lattice="3.6712 0.0000 0.0000 0.0000 10.3503 0.0000 0.0000 0.0000 11.2489" Properties=species:S:1:pos:R:3 pbc="T T T"
O 0.9178 2.7150 1.3006
O 0.9178 7.8116 8.2009
O 0.9178 7.4979 0.5003
O 2.7534 2.4601 6.9251
O 2.7534 8.0276 6.1247
O 0.9178 5.1140 4.4421
O 0.9178 5.2166 9.5140
O 0.9178 2.3227 5.1242
O 2.7534 5.1337 1.7349
O 0.9178 0.0415 7.3594
O 2.7534 5.2363 6.8068
O 2.7534 10.3089 3.8896
O 0.9178 7.8902 4.3239
O 2.7534 7.6353 9.9483
O 0.9178 10.2892 1.1823
O 0.9178 2.6365 8.6725
O 2.7534 2.5387 3.0480
O 2.7534 7.7138 2.5764
O 2.7534 2.8524 10.7487
O 2.7534 0.0611 10.0666
Er 0.9178 1.2151 3.1006
Er 2.7534 8.9518 0.6300
Er 0.9178 1.3985 10.6189
Er 0.9178 6.5737 6.2545
Er 2.7534 3.9601 8.7250
Er 2.7534 9.1352 8.1484
Er 2.7534 3.7766 4.9945
Er 0.9178 6.3902 2.5239
Ti 0.9178 6.9582 9.9175
Ti 2.7534 8.5673 4.2930
Ti 2.7534 3.3921 1.3314
Ti 0.9178 1.7831 6.9559
```

## Properties
Its space group is Pnma (62). As for the polymorph energy (0 for the lowest one): 0.00 eV/f.u.

# 3
Er2TlO: optimized geometry, PBE-GGA.

```
4
Lattice="-1.5302 4.5452 -1.5409 -4.5554 1.7028 1.3128 0.4873 4.7267 5.2246" Properties=species:S:1:pos:R:3 pbc="T T T"
Er -0.2942 3.9053 3.5780
Er -5.3041 7.0693 1.4185
O 0.0000 0.0000 0.0000
Tl -2.7992 5.4873 2.4982
```

## Properties
Its space group is R-3m (166). As for the polymorph energy (0 for the lowest one): 1.89 eV/f.u.

# 4
Er2TlO: optimized geometry, PBE-GGA.

```
8
Lattice="-3.3890 2.0604 2.1023 -1.4321 -3.9550 1.5675 5.0022 1.0013 7.0396" Properties=species:S:1:pos:R:3 pbc="T T T"
Er 0.5251 -0.5931 8.5912
Er -0.3986 1.0569 5.4884
Er 0.5797 -1.9502 5.2210
Er -0.3440 -0.3002 2.1182
Tl -2.6213 -1.2207 4.1387
Tl 2.8024 0.3274 6.5707
O 0.9537 -0.0410 3.9501
O -0.7726 -0.8523 6.7593
```

## Properties
Its space group is C2/m (12). As for the polymorph energy (0 for the lowest one): 0.10 eV/f.u.

# 5
Er3Tl2O2: optimized geometry, PBE-GGA.

```
7
Lattice="3.8389 0.0000 0.0000 -1.9194 6.3803 -3.2342 0.0000 -1.9901 7.5323" Properties=species:S:1:pos:R:3 pbc="T T T"
O 0.0000 1.1741 1.9162
O 1.9194 3.2161 2.3819
Er 1.9194 1.0252 2.9778
Er 0.0000 3.3651 1.3203
Er 0.0000 0.0000 0.0000
Tl 1.9194 -0.0088 5.9844
Tl 0.0000 4.3991 -1.6862
```

## Properties
Its space group is C2/m (12).

# 6
Er3Tl5O12: optimized geometry, PBE-GGA.

```
80
Lattice="11.5939 0.0000 0.0000 -3.8646 10.9308 0.0000 -3.8646 -5.4654 9.4664" Properties=species:S:1:pos:R:3 pbc="T T T"
Er 8.6954 0.0000 2.3666
Er -4.8308 5.4654 7.0998
Er -2.8985 2.0495 8.2831
Er 0.9662 -0.6832 3.5499
Er 4.8308 0.6832 3.5499
Er -0.9662 4.7822 5.9165
Er -2.8985 -2.0495 8.2831
Er 2.8985 0.0000 7.0998
Er 0.9662 5.4654 2.3666
Er 6.7631 3.4159 1.1833
Er 2.8985 6.1486 5.9165
Er 6.7631 7.5149 1.1833
O -2.4795 6.1057 7.3466
O 8.5154 2.4302 2.6134
O -4.6507 3.0352 6.8530
O 1.6114 1.4035 8.6684
O 5.8790 2.9123 3.4113
O 6.9432 -3.7808 8.1445
O 8.0502 5.4761 1.6144
O 0.0821 3.7877 3.9167
O -3.0785 9.2463 1.3218
O 7.8113 -2.5531 6.0550
O 4.1856 1.3928 8.6499
O 1.1462 0.7457 5.5311
O 2.2533 4.0619 0.7979
O 5.2497 6.0422 5.2386
O 7.1820 0.5767 4.2278
O 0.5472 6.6825 6.3476
O 2.0144 -1.6778 5.5497
O 2.2533 6.8582 0.8165
O -0.3209 4.0726 0.8165
O -1.3851 -0.5767 4.2278
O -0.7861 6.2111 3.9352
O -1.1462 -3.0352 6.8530
O 7.6472 1.2346 0.5054
O 3.3174 -1.2171 3.1188
O 6.3441 -0.6403 2.1198
O -4.1856 -0.0107 7.8519
O -2.0144 2.5531 6.0550
O 1.6114 -1.3928 8.6499
O 4.6507 -0.7457 5.5311
O 1.8503 7.1432 3.9167
O 5.8790 9.6963 0.5054
O -3.9467 8.0185 3.4113
O -3.7826 4.2309 8.9610
O -0.5472 0.6403 2.1198
O -1.6114 0.0107 7.8519
O 2.7184 4.7197 3.9352
O -1.1462 3.7808 8.1445
O 5.0108 8.5006 2.6134
O 4.4118 4.8251 7.3466
O 4.1856 -1.4035 8.6684
O 1.3851 4.2484 6.3476
O 2.4795 1.2171 3.1188
O -2.0144 -4.2308 8.9610
O 3.7826 1.6778 5.5497
O -0.3209 6.8689 0.7979
O -3.3174 4.8887 5.2386
O 5.0108 1.6846 1.3218
O 5.4760 5.4547 1.6144
Tl -0.9662 8.8813 1.1833
Tl 4.8308 -3.4159 8.2831
Tl -0.9662 0.6832 5.9165
Tl 0.0000 0.0000 0.0000
Tl -0.9662 2.7327 2.3666
Tl 3.8646 -2.7327 4.7332
Tl 1.9323 2.7327 4.7332
Tl 6.7631 -0.6832 5.9165
Tl -1.9323 -2.7327 4.7332
Tl 2.8985 8.1981 2.3666
Tl 2.8985 2.0495 1.1833
Tl 5.7969 0.0000 0.0000
Tl -3.8646 2.7327 4.7332
Tl -1.9323 5.4654 0.0000
Tl -2.8985 6.1486 3.5499
Tl 0.9662 -2.7327 7.0998
Tl 0.9662 3.4159 8.2831
Tl 3.8646 5.4654 0.0000
Tl 4.8308 2.7327 7.0998
Tl 4.8308 4.7822 3.5499
```

## Properties
Its space group is Ia-3d (230).

no.,uncorrected formation energy (eV per atom),D(E_F) (states/eV per cell)
1,-3.3946,0.0
2,-3.4680,0.0
3,-1.1650,2.6
4,-1.6115,7.2
5,-1.8187,2.6
6,-1.6443,23.0